Density functional theory data (PBE-GGA) for crystalline AlSiCl at its relaxed geometry.

## Properties
Raw total energy (eV per cell): -24.7
Space group: P1
ΔE_f (raw) (eV per atom): -0.45
Total magnetic moment (μB per atom): 0.00

Unit cell a=3.107 b=4.230 c=11.680 alpha=80.18 beta=86.80 gamma=68.28
Fractional coordinates of all 6 atoms:
1 Si 0.620 0.564 0.600
2 Si 0.125 0.483 0.770
3 Al 0.404 0.880 0.875
4 Al 0.892 0.062 0.495
5 Cl 0.365 0.181 0.344
6 Cl 0.886 0.855 0.025